# Pu2Br4F | the Alexandria database | GGA-PBE | relaxed
data_Pu2Br4F
_cell_length_a 5.1425
_cell_length_b 5.1425
_cell_length_c 26.6088
_cell_angle_alpha 90.00
_cell_angle_beta 90.00
_cell_angle_gamma 120.00
_space_group_name_H-M_alt 'R -3 m'
_space_group_IT_number 166
_space_group_name_Hall '-R 3 2"'
loop_
_atom_site_label
_atom_site_fract_x
_atom_site_fract_y
_atom_site_fract_z
Pu1 0.0000 0.0000 0.0855
Br1 0.0000 0.0000 0.2051
Br2 0.0000 0.0000 0.3878
F1 0.0000 0.0000 0.0000
# Density, kg/m³: 6757
# ΔE_f (raw), eV per atom: -1.90
# Fermi-level density of states, states/eV per atom: 3.04
# Size of the total moment, μB/atom: 1.571
# Energy, eV per atom: -7.216